[1]
Entry from Alexandria: an optimized crystal structure of Ce2Be3TcGe4 (GGA-PBE).

Structure (CIF):
```
data_Ce2Be3TcGe4
_chemical_formula_sum 'Ce2 Be3 Tc1 Ge4'
_symmetry_space_group_name_H-M 'P -4 m 2'
_symmetry_Int_Tables_number 115
_symmetry_space_group_name_Hall 'P -4 -2'
_cell_length_a 4.104
_cell_length_b 4.104
_cell_length_c 9.907
_cell_angle_alpha 90.00
_cell_angle_beta 90.00
_cell_angle_gamma 90.00
loop_
_atom_site_label
_atom_site_fract_x
_atom_site_fract_y
_atom_site_fract_z
Ce1 0.000 0.500 0.244
Be1 0.000 0.500 0.876
Be2 0.500 0.500 0.500
Tc1 0.000 0.000 0.500
Ge1 0.000 0.000 0.000
Ge2 0.000 0.500 0.642
Ge3 0.500 0.500 0.000
```

***

[2]
Entry from Alexandria: an optimized crystal structure of Ce2Be3ZnGe4 (GGA-PBE).

Structure (CIF):
```
data_Ce2Be3ZnGe4
_chemical_formula_sum 'Ce2 Be3 Zn1 Ge4'
_symmetry_space_group_name_H-M 'P -4 m 2'
_symmetry_Int_Tables_number 115
_symmetry_space_group_name_Hall 'P -4 -2'
_cell_length_a 4.206
_cell_length_b 4.206
_cell_length_c 9.560
_cell_angle_alpha 90.00
_cell_angle_beta 90.00
_cell_angle_gamma 90.00
loop_
_atom_site_label
_atom_site_fract_x
_atom_site_fract_y
_atom_site_fract_z
Ce1 0.000 0.500 0.243
Be1 0.000 0.500 0.881
Be2 0.500 0.500 0.500
Zn1 0.000 0.000 0.500
Ge1 0.000 0.000 0.000
Ge2 0.000 0.500 0.642
Ge3 0.500 0.500 0.000
```

***

| no. | ΔH_f (0 K) (meV/atom) | DFT total energy (Ha/atom) |
| --- | --- | --- |
| 1 | -336.1 | -0.203 |
| 2 | -351.6 | -0.170 |